An optimized crystal structure of Zr2HgTe, computed with GGA-PBEsol. Values from VASP.

Quantum ESPRESSO input file:
```
&SYSTEM
  ibrav = 0, nat = 4, ntyp = 3
/
ATOMIC_SPECIES
Zr 91.22 Zr.upf
Hg 200.59 Hg.upf
Te 127.60 Te.upf
CELL_PARAMETERS angstrom
3.4558 0.0000 0.0000
0.0000 3.4558 0.0000
0.0000 0.0000 7.1516
ATOMIC_POSITIONS angstrom
Zr 0.0000 0.0000 1.6993
Zr 0.0000 0.0000 5.4523
Hg 1.7279 1.7279 3.5758
Te 1.7279 1.7279 0.0000
```

Values from the calculation:
* formation energy from raw total energies: -0.46 eV/atom
* DOS(E_F): 1.08 states/eV per atom
* E above lowest polymorph: 0.000 eV/f.u.
* total DFT energy (no corrections): -24.13 eV per cell


An optimized crystal structure of Zr2HgTe, computed with GGA-PBEsol. Values from VASP.

Quantum ESPRESSO input file:
```
&SYSTEM
  ibrav = 0, nat = 4, ntyp = 3
/
ATOMIC_SPECIES
Zr 91.22 Zr.upf
Hg 200.59 Hg.upf
Te 127.60 Te.upf
CELL_PARAMETERS angstrom
3.2326 -3.8233 0.0000
3.2326 3.8233 0.0000
0.0000 0.0000 3.4491
ATOMIC_POSITIONS angstrom
Zr 1.6163 1.9116 0.0000
Zr 1.6163 -1.9116 0.0000
Hg 0.0000 0.0000 1.7245
Te 3.2326 0.0000 1.7245
```

Values from the calculation:
* formation energy from raw total energies: -0.46 eV/atom
* DOS(E_F): 0.76 states/eV per atom
* E above lowest polymorph: 0.024 eV/f.u.
* total DFT energy (no corrections): -24.10 eV per cell


An optimized crystal structure of ZrHgTe, computed with GGA-PBEsol. Values from VASP.

Quantum ESPRESSO input file:
```
&SYSTEM
  ibrav = 0, nat = 3, ntyp = 3
/
ATOMIC_SPECIES
Zr 91.22 Zr.upf
Hg 200.59 Hg.upf
Te 127.60 Te.upf
CELL_PARAMETERS angstrom
3.6415 0.0000 0.0000
-1.8207 3.1536 0.0000
0.0000 0.0000 6.6830
ATOMIC_POSITIONS angstrom
Zr 0.0000 0.0000 0.0000
Hg 0.0000 2.1024 4.5823
Te 1.8207 1.0512 1.8962
```

Values from the calculation:
* formation energy from raw total energies: -0.32 eV/atom
* DOS(E_F): 0.92 states/eV per atom
* total DFT energy (no corrections): -14.13 eV per cell


An optimized crystal structure of ZrHg2Te, computed with GGA-PBEsol. Values from VASP.

Quantum ESPRESSO input file:
```
&SYSTEM
  ibrav = 0, nat = 4, ntyp = 3
/
ATOMIC_SPECIES
Zr 91.22 Zr.upf
Hg 200.59 Hg.upf
Te 127.60 Te.upf
CELL_PARAMETERS angstrom
-2.1962 2.1962 4.5770
2.1962 -2.1962 4.5770
2.1962 2.1962 -4.5770
ATOMIC_POSITIONS angstrom
Zr 0.0000 0.0000 0.0000
Hg 0.0000 0.0000 4.5770
Hg 0.0000 2.1962 2.2885
Te 2.1962 0.0000 2.2885
```

Values from the calculation:
* formation energy from raw total energies: -0.25 eV/atom
* DOS(E_F): 0.32 states/eV per atom
* total DFT energy (no corrections): -14.74 eV per cell


An optimized crystal structure of ThHg2, computed with GGA-PBEsol. Values from VASP.

Quantum ESPRESSO input file:
```
&SYSTEM
  ibrav = 0, nat = 6, ntyp = 2
/
ATOMIC_SPECIES
Th 232.04 Th.upf
Hg 200.59 Hg.upf
CELL_PARAMETERS angstrom
4.8294 0.0000 0.0000
-2.4147 4.1824 0.0000
0.0000 0.0000 7.3918
ATOMIC_POSITIONS angstrom
Th 0.0000 0.0000 1.8480
Th 0.0000 0.0000 5.5439
Hg 0.0000 2.7882 0.3085
Hg 0.0000 2.7882 3.3874
Hg 2.4147 1.3941 4.0044
Hg 2.4147 1.3941 7.0833
```

Values from the calculation:
* formation energy from the elements: -0.384 eV per atom
* DOS(E_F): 0.50 states/eV per atom
* total DFT energy (no corrections): -20.79 eV per cell


An optimized crystal structure of TiHg, computed with GGA-PBEsol. Values from VASP.

Quantum ESPRESSO input file:
```
&SYSTEM
  ibrav = 0, nat = 2, ntyp = 2
/
ATOMIC_SPECIES
Ti 47.87 Ti.upf
Hg 200.59 Hg.upf
CELL_PARAMETERS angstrom
2.9752 0.0000 0.0000
0.0000 2.9752 0.0000
0.0000 0.0000 4.0323
ATOMIC_POSITIONS angstrom
Ti 0.0000 0.0000 0.0000
Hg 1.4876 1.4876 2.0162
```

Values from the calculation:
* formation energy from the elements: -0.121 eV per atom
* DOS(E_F): 1.17 states/eV per atom
* total DFT energy (no corrections): -9.13 eV per cell


An optimized crystal structure of Ti3Hg, computed with GGA-PBEsol. Values from VASP.

Quantum ESPRESSO input file:
```
&SYSTEM
  ibrav = 0, nat = 8, ntyp = 2
/
ATOMIC_SPECIES
Ti 47.87 Ti.upf
Hg 200.59 Hg.upf
CELL_PARAMETERS angstrom
5.1166 0.0000 0.0000
0.0000 5.1166 0.0000
0.0000 0.0000 5.1166
ATOMIC_POSITIONS angstrom
Ti 0.0000 1.2791 2.5583
Ti 0.0000 3.8374 2.5583
Ti 1.2791 2.5583 0.0000
Ti 2.5583 0.0000 1.2791
Ti 2.5583 0.0000 3.8374
Ti 3.8374 2.5583 0.0000
Hg 0.0000 0.0000 0.0000
Hg 2.5583 2.5583 2.5583
```

Values from the calculation:
* formation energy from the elements: -0.187 eV per atom
* DOS(E_F): 0.97 states/eV per atom
* E above lowest polymorph: 0.000 eV/f.u.
* total DFT energy (no corrections): -52.56 eV per cell


An optimized crystal structure of Ti3Hg, computed with GGA-PBEsol. Values from VASP.

Quantum ESPRESSO input file:
```
&SYSTEM
  ibrav = 0, nat = 4, ntyp = 2
/
ATOMIC_SPECIES
Ti 47.87 Ti.upf
Hg 200.59 Hg.upf
CELL_PARAMETERS angstrom
4.0736 0.0000 0.0000
0.0000 4.0736 0.0000
0.0000 0.0000 4.0736
ATOMIC_POSITIONS angstrom
Ti 0.0000 0.0000 2.0368
Ti 0.0000 2.0368 0.0000
Ti 2.0368 0.0000 0.0000
Hg 2.0368 2.0368 2.0368
```

Values from the calculation:
* formation energy from the elements: -0.107 eV per atom
* DOS(E_F): 1.42 states/eV per atom
* E above lowest polymorph: 0.321 eV/f.u.
* total DFT energy (no corrections): -25.96 eV per cell


An optimized crystal structure of TiHg3W, computed with GGA-PBEsol. Values from VASP.

Quantum ESPRESSO input file:
```
&SYSTEM
  ibrav = 0, nat = 5, ntyp = 3
/
ATOMIC_SPECIES
Ti 47.87 Ti.upf
Hg 200.59 Hg.upf
W 183.84 W.upf
CELL_PARAMETERS angstrom
5.0768 0.0000 0.0000
0.0000 5.0768 0.0000
0.0000 0.0000 5.0768
ATOMIC_POSITIONS angstrom
Ti 0.0000 0.0000 0.0000
Hg 0.0000 0.0000 2.5384
Hg 0.0000 2.5384 0.0000
Hg 2.5384 0.0000 0.0000
W 2.5384 2.5384 2.5384
```

Values from the calculation:
* formation energy from the elements: 1.763 eV per atom
* DOS(E_F): 1.19 states/eV per atom
* total DFT energy (no corrections): -15.02 eV per cell


An optimized crystal structure of Ti3ZnHg, computed with GGA-PBEsol. Values from VASP.

Quantum ESPRESSO input file:
```
&SYSTEM
  ibrav = 0, nat = 5, ntyp = 3
/
ATOMIC_SPECIES
Ti 47.87 Ti.upf
Zn 65.41 Zn.upf
Hg 200.59 Hg.upf
CELL_PARAMETERS angstrom
4.9037 0.0000 0.0000
0.0000 4.9037 0.0000
0.0000 0.0000 4.9037
ATOMIC_POSITIONS angstrom
Ti 0.0000 0.0000 2.4519
Ti 0.0000 2.4519 0.0000
Ti 2.4519 0.0000 0.0000
Zn 2.4519 2.4519 2.4519
Hg 0.0000 0.0000 0.0000
```

Values from the calculation:
* formation energy from the elements: 1.184 eV per atom
* DOS(E_F): 1.22 states/eV per atom
* total DFT energy (no corrections): -21.20 eV per cell


An optimized crystal structure of TiZn3Hg, computed with GGA-PBEsol. Values from VASP.

Quantum ESPRESSO input file:
```
&SYSTEM
  ibrav = 0, nat = 5, ntyp = 3
/
ATOMIC_SPECIES
Ti 47.87 Ti.upf
Zn 65.41 Zn.upf
Hg 200.59 Hg.upf
CELL_PARAMETERS angstrom
4.7879 0.0000 0.0000
0.0000 4.7879 0.0000
0.0000 0.0000 4.7879
ATOMIC_POSITIONS angstrom
Ti 0.0000 0.0000 0.0000
Zn 0.0000 2.3940 2.3940
Zn 2.3940 0.0000 2.3940
Zn 2.3940 2.3940 0.0000
Hg 2.3940 2.3940 2.3940
```

Values from the calculation:
* formation energy from the elements: 0.844 eV per atom
* DOS(E_F): 0.72 states/eV per atom
* total DFT energy (no corrections): -9.42 eV per cell


An optimized crystal structure of TlHg2, computed with GGA-PBEsol. Values from VASP.

Quantum ESPRESSO input file:
```
&SYSTEM
  ibrav = 0, nat = 3, ntyp = 2
/
ATOMIC_SPECIES
Tl 204.38 Tl.upf
Hg 200.59 Hg.upf
CELL_PARAMETERS angstrom
3.3628 0.0000 0.0000
-1.6814 2.9122 0.0000
0.0000 0.0000 7.7610
ATOMIC_POSITIONS angstrom
Tl 0.0000 0.0000 0.0000
Hg 0.0000 1.9415 2.6681
Hg 1.6814 0.9707 5.0929
```

Values from the calculation:
* formation energy from the elements: -0.012 eV per atom
* DOS(E_F): 0.36 states/eV per atom
* E above lowest polymorph: 0.039 eV/f.u.
* total DFT energy (no corrections): -3.80 eV per cell


An optimized crystal structure of TlHg, computed with GGA-PBEsol. Values from VASP.

Quantum ESPRESSO input file:
```
&SYSTEM
  ibrav = 0, nat = 4, ntyp = 2
/
ATOMIC_SPECIES
Tl 204.38 Tl.upf
Hg 200.59 Hg.upf
CELL_PARAMETERS angstrom
1.7752 -6.2120 0.0000
1.7752 6.2120 0.0000
0.0000 0.0000 4.7490
ATOMIC_POSITIONS angstrom
Tl 1.7752 4.1371 3.5617
Tl 1.7752 -4.1371 1.1872
Hg 1.7752 0.9117 3.5617
Hg 1.7752 -0.9117 1.1872
```

Values from the calculation:
* formation energy from the elements: -0.008 eV per atom
* DOS(E_F): 0.51 states/eV per atom
* total DFT energy (no corrections): -6.43 eV per cell


An optimized crystal structure of TlHg, computed with GGA-PBEsol. Values from VASP.

Quantum ESPRESSO input file:
```
&SYSTEM
  ibrav = 0, nat = 4, ntyp = 2
/
ATOMIC_SPECIES
Tl 204.38 Tl.upf
Hg 200.59 Hg.upf
CELL_PARAMETERS angstrom
5.5972 -1.7698 0.0000
5.5972 1.7698 0.0000
-1.7901 0.0000 5.2450
ATOMIC_POSITIONS angstrom
Tl 0.6637 0.0000 1.7932
Tl 8.7406 0.0000 3.4518
Hg 3.8148 0.0000 0.7488
Hg 5.5895 0.0000 4.4962
```

Values from the calculation:
* formation energy from the elements: -0.013 eV per atom
* DOS(E_F): 0.46 states/eV per atom
* total DFT energy (no corrections): -6.45 eV per cell


no.,calculated density (g/cm3)
1,9.9
2,9.9
3,9.1
4,11.7
5,14.1
6,11.6
7,8.5
8,8.5
9,10.6
10,5.8
11,6.7
12,13.2
13,12.8
14,12.9